Record 1
# LaNiAu, relaxed, DFT GGA-PBE
data_LaNiAu
_space_group_name_H-M_alt 'C 1 2/m 1'
_space_group_IT_number 12
_cell_length_a 16.5584
_cell_length_b 4.0873
_cell_length_c 4.0250
_cell_angle_alpha 90.00
_cell_angle_beta 97.77
_cell_angle_gamma 90.00
loop_
_space_group_symop_operation_xyz
'x,y,z'
'-x,-y,-z'
'-x,y,-z'
'x,-y,z'
'x+1/2,y+1/2,z'
'-x+1/2,-y+1/2,-z'
'-x+1/2,y+1/2,-z'
'x+1/2,-y+1/2,z'
loop_
_atom_site_label
_atom_site_type_symbol
_atom_site_fract_x
_atom_site_fract_y
_atom_site_fract_z
La1 La 0.1089 0.0000 0.3228
Ni1 Ni 0.0369 0.5000 0.7713
Au1 Au 0.1951 0.5000 0.8796
# * formation energy from the elements: -0.5671 eV per atom
# * ρ: 9.71 g/cm3
# * raw total energy: -5.229 eV/atom

=====

Record 2
# CdInTe2, relaxed, DFT GGA-PBE
data_CdInTe2
_space_group_name_H-M_alt 'R 3 m'
_space_group_IT_number 160
_space_group_name_Hall 'R 3 -2"'
_cell_length_a 4.8352
_cell_length_b 4.8352
_cell_length_c 23.5580
_cell_angle_alpha 90.00
_cell_angle_beta 90.00
_cell_angle_gamma 120.00
loop_
_atom_site_label
_atom_site_type_symbol
_atom_site_fract_x
_atom_site_fract_y
_atom_site_fract_z
Cd1 Cd 0.0000 0.0000 0.0000
In1 In 0.0000 0.0000 0.4987
Te1 Te 0.0000 0.0000 0.3705
Te2 Te 0.0000 0.0000 0.8769
# * ρ: 5.04 g/cm3
# * raw total energy: -2.753 eV/atom
# * formation energy without anion corrections: -0.2692 eV/atom